The following is a PBE with a Hubbard U calculation of crystalline BMoF3 at its relaxed geometry, from Alexandria via LeMat-Bulk.

Computed properties:
As for the space-group type: Pm-3m, No. 221. As for the energy above the most stable polymorph in this dataset: 0 meV per atom.

Cell: 4.2513 4.2513 4.2513 Å, 90.00 90.00 90.00°
Each line ends with the local moment (μB).
Fractional coordinates of all 5 atoms:
Mo: 0.0000 0.0000 0.0000  2.84
B: 0.5000 0.5000 0.5000  0.37
F: 0.0000 0.5000 0.0000  0.04
F: 0.0000 0.0000 0.5000  0.04
F: 0.5000 0.0000 0.0000  0.07